No. 1
DFT (PBE) results for crystalline LiTm5Au6 at its relaxed geometry.

Computed properties:
energy relative to the elements: -79.70 kJ/mol of atoms
mass density: 12.948 g/cm3

Lattice parameters (Å, degrees): 8.6034 8.6034 4.9420 106.56 106.56 119.90
Atoms (fractional coordinates):
Li: 0.0000 0.0000 0.0000
Tm: 0.1580 0.8420 0.5000
Tm: 0.3313 0.6687 0.0000
Tm: 0.5000 0.5000 0.5000
Tm: 0.6687 0.3313 0.0000
Tm: 0.8420 0.1580 0.5000
Au: 0.0859 0.4282 0.2577
Au: 0.2591 0.2591 0.7616
Au: 0.4282 0.0859 0.2577
Au: 0.5718 0.9141 0.7423
Au: 0.7409 0.7409 0.2384
Au: 0.9141 0.5718 0.7423

***

No. 2
DFT (PBE) results for crystalline LaZn2TcH6 at its relaxed geometry.

Computed properties:
mass density: 6.184 g/cm3
energy: -3.889 eV/atom

Lattice parameters (Å, degrees): 4.5945 6.0102 8.5818 90.00 122.11 90.00
Atoms (fractional coordinates):
La: 0.0000 0.0000 0.0000
La: 0.0000 0.5000 0.5000
Zn: 0.2163 0.0203 0.7067
Zn: 0.2163 0.4797 0.2067
Zn: 0.7837 0.5203 0.7933
Zn: 0.7837 0.9797 0.2933
Tc: 0.5000 0.0000 0.5000
Tc: 0.5000 0.5000 0.0000
H: 0.1601 0.1525 0.3118
H: 0.1601 0.3475 0.8118
H: 0.2001 0.6470 0.0222
H: 0.2001 0.8530 0.5222
H: 0.4469 0.7231 0.3951
H: 0.4469 0.7769 0.8951
H: 0.5531 0.2231 0.1049
H: 0.5531 0.2769 0.6049
H: 0.7999 0.1470 0.4778
H: 0.7999 0.3530 0.9778
H: 0.8399 0.6525 0.1882
H: 0.8399 0.8475 0.6882

***

No. 3
DFT (PBE) results for crystalline MnCdOs2 at its relaxed geometry.

Computed properties:
energy relative to the elements: 24.71 kJ/mol of atoms
mass density: 14.299 g/cm3

Lattice parameters (Å, degrees): 2.8222 2.8222 7.9874 90.00 90.00 90.00
Atoms (fractional coordinates):
Mn: 0.0000 0.0000 0.0000
Cd: 0.5000 0.5000 0.7239
Os: 0.0000 0.0000 0.4469
Os: 0.5000 0.5000 0.2381

***

No. 4
DFT (PBE) results for crystalline TaBi2Mo at its relaxed geometry.

Computed properties:
energy relative to the elements: 67.75 kJ/mol of atoms
E above lowest polymorph: 0 meV per atom
mass density: 13.661 g/cm3

Lattice parameters (Å, degrees): 6.9647 6.9647 6.9647 90.00 90.00 90.00
Atoms (fractional coordinates):
Ta: 0.0000 0.0000 0.0000
Ta: 0.0000 0.5000 0.5000
Ta: 0.5000 0.0000 0.5000
Ta: 0.5000 0.5000 0.0000
Bi: 0.2500 0.2500 0.2500
Bi: 0.2500 0.2500 0.7500
Bi: 0.2500 0.7500 0.2500
Bi: 0.2500 0.7500 0.7500
Bi: 0.7500 0.2500 0.2500
Bi: 0.7500 0.2500 0.7500
Bi: 0.7500 0.7500 0.2500
Bi: 0.7500 0.7500 0.7500
Mo: 0.0000 0.0000 0.5000
Mo: 0.0000 0.5000 0.0000
Mo: 0.5000 0.0000 0.0000
Mo: 0.5000 0.5000 0.5000

***

No. 5
DFT (PBE) results for crystalline BC3 at its relaxed geometry.

Computed properties:
energy relative to the elements: 26.18 kJ/mol of atoms
E above lowest polymorph: 31 meV per atom
mass density: 3.137 g/cm3

Lattice parameters (Å, degrees): 6.0624 6.0624 5.1496 102.31 102.31 23.75
Atoms (fractional coordinates):
B: 0.0000 0.0000 0.0000
B: 0.0073 0.0073 0.4997
B: 0.3987 0.3987 0.4486
C: 0.0906 0.0906 0.7978
C: 0.0921 0.0921 0.2915
C: 0.3223 0.3223 0.6686
C: 0.3227 0.3227 0.1512
C: 0.3978 0.3978 0.9475
C: 0.6644 0.6644 0.8322
C: 0.6675 0.6675 0.3308
C: 0.7449 0.7449 0.6245
C: 0.7460 0.7460 0.1187

***

No. 6
DFT (PBE) results for crystalline Tl3ReI2Br6 at its relaxed geometry.

Computed properties:
mass density: 5.500 g/cm3
energy: -3.190 eV/atom

Lattice parameters (Å, degrees): 9.2836 9.2836 6.4579 90.81 90.81 56.24
Atoms (fractional coordinates):
Tl: 0.0000 0.0000 0.0000
Tl: 0.0000 0.5000 0.5000
Tl: 0.5000 0.0000 0.5000
Re: 0.5000 0.5000 0.5000
I: 0.1928 0.1928 0.1245
I: 0.8072 0.8072 0.8755
Br: 0.2287 0.6348 0.2806
Br: 0.3652 0.7713 0.7194
Br: 0.3784 0.3784 0.7320
Br: 0.6216 0.6216 0.2680
Br: 0.6348 0.2287 0.2806
Br: 0.7713 0.3652 0.7194

***

No. 7
DFT (PBE) results for crystalline KHg2Pd at its relaxed geometry.

Computed properties:
energy relative to the elements: -19.92 kJ/mol of atoms
E above lowest polymorph: 9 meV per atom
mass density: 7.850 g/cm3

Lattice parameters (Å, degrees): 4.7546 4.7546 17.7217 90.00 90.00 120.00
Atoms (fractional coordinates):
K: 0.0000 0.0000 0.0000
K: 0.3333 0.6667 0.6667
K: 0.6667 0.3333 0.3333
Hg: 0.0000 0.0000 0.2080
Hg: 0.0000 0.0000 0.7920
Hg: 0.3333 0.6667 0.4587
Hg: 0.3333 0.6667 0.8746
Hg: 0.6667 0.3333 0.1254
Hg: 0.6667 0.3333 0.5413
Pd: 0.0000 0.0000 0.5000
Pd: 0.3333 0.6667 0.1667
Pd: 0.6667 0.3333 0.8333

***

No. 8
DFT (PBE) results for crystalline CrMoBr at its relaxed geometry.

Computed properties:
E above lowest polymorph: 10 meV per atom
mass density: 5.911 g/cm3

Lattice parameters (Å, degrees): 3.3676 4.1034 9.4048 90.00 99.97 90.00
Atoms (fractional coordinates):
Cr: 0.0000 0.0000 0.0000
Cr: 0.4876 0.5000 0.9811
Mo: 0.3913 0.0000 0.7972
Mo: 0.8786 0.5000 0.7612
Br: 0.0896 0.5000 0.1887
Br: 0.7874 0.0000 0.5543